Run a
The following is a PBE-GGA calculation of RbTa3Se after structural relaxation, from Alexandria via LeMat-Bulk.

Output
Its density of states at the Fermi level is 1.181 states/eV/atom. The value obtained for the total magnetization is 0.00 μB/atom.

Cell: 4.9398 4.9398 4.9398 Å, 90.00 90.00 90.00°
With the nearest neighbours (Å) after each atom.
Sites, in units of the cell vectors:
1 Se 0.0000 0.0000 0.0000  6 Ta 2.47
2 Rb 0.5000 0.5000 0.5000  12 Ta 3.49
3 Ta 0.0000 0.5000 0.0000  2 Se 2.47
4 Ta 0.0000 0.0000 0.5000  2 Se 2.47
5 Ta 0.5000 0.0000 0.0000  2 Se 2.47

Run b
The following is a PBE-GGA calculation of RbTa3Se after structural relaxation, from Alexandria via LeMat-Bulk.

Output
Its density of states at the Fermi level is 0.515 states/eV/atom. The value obtained for the total magnetization is 0.00 μB/atom.

Cell: 4.8466 4.8466 4.8466 Å, 90.00 90.00 90.00°
With the nearest neighbours (Å) after each atom.
Sites, in units of the cell vectors:
1 Se 0.5000 0.5000 0.5000  12 Ta 3.43
2 Rb 0.0000 0.0000 0.0000  6 Ta 2.42
3 Ta 0.0000 0.5000 0.0000  2 Rb 2.42
4 Ta 0.0000 0.0000 0.5000  2 Rb 2.42
5 Ta 0.5000 0.0000 0.0000  2 Rb 2.42

From most stable to least stable, the computed energies give run a, run b.

Run a
The following is a PBE-GGA calculation of RbTc2Se after structural relaxation, from Alexandria via LeMat-Bulk.

Output
Its density of states at the Fermi level is 1.708 states/eV/atom. The value obtained for the total magnetization is 0.67 μB/atom.

Cell: 4.6853 4.6853 4.6853 Å, 60.00 60.00 60.00°
With the nearest neighbours (Å) after each atom.
Sites, in units of the cell vectors:
1 Se 0.0000 0.0000 0.0000  8 Tc 2.87
2 Tc 0.2500 0.2500 0.2500  4 Se 2.87, 4 Rb 2.87
3 Tc 0.7500 0.7500 0.7500  4 Se 2.87, 4 Rb 2.87
4 Rb 0.5000 0.5000 0.5000  8 Tc 2.87

Run b
The following is a PBE-GGA calculation of RbTc2Se after structural relaxation, from Alexandria via LeMat-Bulk.

Output
Its density of states at the Fermi level is 1.034 states/eV/atom. The value obtained for the total magnetization is 0.37 μB/atom.

Cell: 4.8522 4.8522 9.6328 Å, 75.41 75.41 90.00°
With the nearest neighbours (Å) after each atom.
Sites, in units of the cell vectors:
1 Se 0.5000 0.5000 0.0000  4 Tc 2.56
2 Se 0.2500 0.7500 0.5000  4 Tc 2.56
3 Tc 0.3750 0.1250 0.2500  2 Tc 2.43, 2 Se 2.56
4 Tc 0.3750 0.6250 0.2500  2 Tc 2.43, 2 Se 2.56
5 Tc 0.3750 0.6250 0.7500  2 Tc 2.43, 2 Se 2.56
6 Tc 0.8750 0.6250 0.7500  2 Tc 2.43, 2 Se 2.56
7 Rb 0.0000 0.0000 0.0000  4 Se 3.43, 8 Tc 3.52
8 Rb 0.7500 0.2500 0.5000  4 Se 3.43, 8 Tc 3.52

From most stable to least stable, the computed energies give run b, run a.

Run a
The following is a PBE-GGA calculation of Rb2TeSe after structural relaxation, from Alexandria via LeMat-Bulk.

Output
Its density of states at the Fermi level is 0.684 states/eV/atom. The value obtained for the total magnetization is 0.50 μB/atom.

Cell: 6.0523 6.0523 6.0523 Å, 60.00 60.00 60.00°
With the nearest neighbours (Å) after each atom.
Sites, in units of the cell vectors:
1 Te 0.5000 0.5000 0.5000  8 Rb 3.71
2 Se 0.0000 0.0000 0.0000  8 Rb 3.71
3 Rb 0.2500 0.2500 0.2500  4 Te 3.71, 4 Se 3.71
4 Rb 0.7500 0.7500 0.7500  4 Te 3.71, 4 Se 3.71

Run b
The following is a PBE-GGA calculation of Rb2TeSe after structural relaxation, from Alexandria via LeMat-Bulk.

Output
Its density of states at the Fermi level is 0.151 states/eV/atom. The value obtained for the total magnetization is 0.00 μB/atom.

Cell: 12.4034 12.4034 9.2411 Å, 47.85 47.85 90.00°
With the nearest neighbours (Å) after each atom.
Sites, in units of the cell vectors:
1 Te 0.0000 0.0000 0.0000  2 Se 2.91
2 Te 0.7500 0.2500 0.5000  2 Se 2.91
3 Se 0.5000 0.5000 0.0000  2 Te 2.91
4 Se 0.2500 0.7500 0.5000  2 Te 2.91
5 Rb 0.4368 0.1250 0.2500  2 Se 3.28
6 Rb 0.3132 0.6250 0.2500  2 Se 3.28
7 Rb 0.3750 0.5632 0.7500  2 Se 3.28
8 Rb 0.8750 0.6868 0.7500  2 Se 3.28

Run c
The following is a PBE-GGA calculation of Rb2TeSe after structural relaxation, from Alexandria via LeMat-Bulk.

Output
The value obtained for the total magnetization is 0.00 μB/atom.

Cell: 6.6939 9.5762 9.9224 Å, 90.00 90.00 90.00°
With the nearest neighbours (Å) after each atom.
Sites, in units of the cell vectors:
1 Rb 0.2479 0.6243 0.0486  3 Se 3.40-3.53, 1 Te 3.80
2 Rb 0.2521 0.1243 0.4514  3 Se 3.40-3.53, 1 Te 3.80
3 Rb 0.7521 0.3757 0.5486  3 Se 3.40-3.53, 1 Te 3.80
4 Rb 0.7479 0.8757 0.9514  3 Se 3.40-3.53, 1 Te 3.80
5 Rb 0.7521 0.3757 0.9514  3 Se 3.40-3.53, 1 Te 3.80
6 Rb 0.7479 0.8757 0.5486  3 Se 3.40-3.53, 1 Te 3.80
7 Rb 0.2479 0.6243 0.4514  3 Se 3.40-3.53, 1 Te 3.80
8 Rb 0.2521 0.1243 0.0486  3 Se 3.40-3.53, 1 Te 3.80
9 Te 0.7455 0.6247 0.2500  2 Se 2.90-2.96
10 Te 0.7545 0.1247 0.2500  2 Se 2.90-2.96
11 Te 0.2545 0.3753 0.7500  2 Se 2.90-2.96
12 Te 0.2455 0.8753 0.7500  2 Se 2.90-2.96
13 Se 0.0025 0.3731 0.2500  2 Te 2.90-2.96
14 Se 0.4975 0.8731 0.2500  2 Te 2.90-2.96
15 Se 0.9975 0.6269 0.7500  2 Te 2.90-2.96
16 Se 0.5025 0.1269 0.7500  2 Te 2.90-2.96

From most stable to least stable, the computed energies give run c, run b, run a.

Run a
The following is a PBE-GGA calculation of Rb2TeSe3 after structural relaxation, from Alexandria via LeMat-Bulk.

Output
The value obtained for the total magnetization is 0.00 μB/atom.

Cell: 8.2305 8.2305 9.4328 Å, 90.00 90.00 120.00°
With the nearest neighbours (Å) after each atom.
Sites, in units of the cell vectors:
1 Rb 0.0000 0.0000 0.0000  6 Se 3.58
2 Rb 0.6667 0.3333 0.3978  9 Se 3.84-4.28, 1 Te 4.16
3 Rb 0.0000 0.0000 0.5000  6 Se 3.28
4 Rb 0.3333 0.6667 0.6022  9 Se 3.84-4.28, 1 Te 4.16
5 Te 0.3333 0.6667 0.1615  3 Se 2.50
6 Te 0.6667 0.3333 0.8385  3 Se 2.50
7 Se 0.1742 0.3484 0.2732  1 Te 2.50
8 Se 0.6516 0.8258 0.2732  1 Te 2.50
9 Se 0.1742 0.8258 0.2732  1 Te 2.50
10 Se 0.8258 0.6516 0.7268  1 Te 2.50
11 Se 0.8258 0.1742 0.7268  1 Te 2.50
12 Se 0.3484 0.1742 0.7268  1 Te 2.50

Run b
The following is a PBE-GGA calculation of Rb2TeSe3 after structural relaxation, from Alexandria via LeMat-Bulk.

Output
The value obtained for the total magnetization is 0.00 μB/atom.

Cell: 7.1412 7.1412 10.7656 Å, 96.54 101.02 122.68°
With the nearest neighbours (Å) after each atom.
Sites, in units of the cell vectors:
1 Rb 0.7190 0.9829 0.3913  6 Se 3.48-3.82, 1 Te 3.79
2 Rb 0.2810 0.0171 0.6087  6 Se 3.48-3.82, 1 Te 3.79
3 Rb 0.9084 0.6723 0.8913  6 Se 3.48-3.82, 1 Te 3.79
4 Rb 0.0916 0.3277 0.1087  6 Se 3.48-3.82, 1 Te 3.79
5 Te 0.6763 0.4263 0.2500  1 Se 2.56
6 Te 0.3237 0.5737 0.7500  1 Se 2.56
7 Se 0.6720 0.5012 0.5172  1 Se 2.40
8 Se 0.3280 0.4988 0.4828  1 Se 2.40
9 Se 0.4841 0.1548 0.9828  1 Se 2.40
10 Se 0.9504 0.2004 0.7500  1 Te 2.56
11 Se 0.5159 0.8452 0.0172  1 Se 2.40
12 Se 0.0496 0.7996 0.2500  1 Te 2.56

From most stable to least stable, the computed energies give run b, run a.

Run a
The following is a PBE-GGA calculation of RbTe3Se after structural relaxation, from Alexandria via LeMat-Bulk.

Output
Its density of states at the Fermi level is 0.328 states/eV/atom. The value obtained for the total magnetization is 0.00 μB/atom.

Cell: 6.7470 7.1152 9.6144 Å, 111.31 102.54 88.86°
With the nearest neighbours (Å) after each atom.
Sites, in units of the cell vectors:
1 Rb 0.5199 0.7085 0.5869  2 Se 3.60-3.95, 5 Te 3.77-3.99
2 Rb 0.9313 0.1931 0.0603  2 Se 3.60-3.95, 5 Te 3.77-3.99
3 Te 0.3547 0.2549 0.8769  3 Te 2.99-3.13
4 Te 0.4274 0.9296 0.0279  1 Se 2.83, 3 Te 3.05-3.13
5 Te 0.9421 0.2993 0.4756  1 Se 2.58
6 Te 0.0966 0.6466 0.7703  3 Te 2.99-3.13
7 Te 0.0239 0.9719 0.6194  1 Se 2.83, 3 Te 3.05-3.13
8 Te 0.5091 0.6023 0.1716  1 Se 2.58
9 Se 0.8850 0.6998 0.3142  2 Te 2.58-2.83
10 Se 0.5662 0.2018 0.3331  2 Te 2.58-2.83

Run b
The following is a PBE-GGA calculation of RbTe3Se after structural relaxation, from Alexandria via LeMat-Bulk.

Output
Its density of states at the Fermi level is 2.058 states/eV/atom. The value obtained for the total magnetization is 1.40 μB/atom.

Cell: 6.8015 6.8015 6.8015 Å, 90.00 90.00 90.00°
With the nearest neighbours (Å) after each atom.
Sites, in units of the cell vectors:
1 Te 0.0000 0.5000 0.0000  2 Rb 3.40
2 Te 0.0000 0.0000 0.5000  2 Rb 3.40
3 Te 0.5000 0.0000 0.0000  2 Rb 3.40
4 Se 0.5000 0.5000 0.5000  12 Te 4.81
5 Rb 0.0000 0.0000 0.0000  6 Te 3.40

Run c
The following is a PBE-GGA calculation of RbTe3Se after structural relaxation, from Alexandria via LeMat-Bulk.

Output
Its density of states at the Fermi level is 0.631 states/eV/atom. The value obtained for the total magnetization is 0.00 μB/atom.

Cell: 7.0736 7.0736 7.0736 Å, 81.91 81.91 81.91°
With the nearest neighbours (Å) after each atom.
Sites, in units of the cell vectors:
1 Rb 0.7584 0.7584 0.7584  2 Se 3.39-3.54, 9 Te 3.67-3.71
2 Rb 0.2584 0.2584 0.2584  2 Se 3.39-3.54, 9 Te 3.67-3.71
3 Te 0.1154 0.7728 0.3218  1 Se 2.73
4 Te 0.3218 0.1154 0.7728  1 Se 2.73
5 Te 0.7728 0.3218 0.1154  1 Se 2.73
6 Te 0.6153 0.8218 0.2728  1 Se 2.73
7 Te 0.8218 0.2728 0.6153  1 Se 2.73
8 Te 0.2728 0.6153 0.8218  1 Se 2.73
9 Se 0.0032 0.0032 0.0032  3 Te 2.73
10 Se 0.5032 0.5032 0.5032  3 Te 2.73

From most stable to least stable, the computed energies give run a, run c, run b.

Run a
The following is a PBE-GGA calculation of Rb2Te2Se3 after structural relaxation, from Alexandria via LeMat-Bulk.

Output
Its density of states at the Fermi level is 0.175 states/eV/atom. The value obtained for the total magnetization is 0.00 μB/atom.

Cell: 4.8036 7.4120 8.5579 Å, 107.76 106.30 90.00°
With the nearest neighbours (Å) after each atom.
Sites, in units of the cell vectors:
1 Rb 0.3964 0.1690 0.7928  5 Se 3.40-3.61
2 Rb 0.6036 0.8310 0.2072  5 Se 3.40-3.61
3 Te 0.1402 0.3610 0.2804  1 Se 2.52
4 Te 0.8598 0.6390 0.7196  1 Se 2.52
5 Se 0.0000 0.0000 0.0000  2 Te 2.92
6 Se 0.2393 0.7000 0.4786  1 Te 2.52
7 Se 0.7607 0.3000 0.5214  1 Te 2.52

Run b
The following is a PBE-GGA calculation of Rb2Te2Se3 after structural relaxation, from Alexandria via LeMat-Bulk.

Output
Its density of states at the Fermi level is 0.258 states/eV/atom. The value obtained for the total magnetization is 0.00 μB/atom.

Cell: 5.0014 7.3471 7.9748 Å, 99.66 108.27 90.00°
With the nearest neighbours (Å) after each atom.
Sites, in units of the cell vectors:
1 Rb 0.3538 0.2950 0.7077  6 Se 3.50-3.83
2 Rb 0.6462 0.7050 0.2923  6 Se 3.50-3.83
3 Te 0.0885 0.1975 0.1771  3 Se 2.72-2.79
4 Te 0.9115 0.8025 0.8229  3 Se 2.72-2.79
5 Se 0.0000 0.5000 0.0000  2 Te 2.79
6 Se 0.6593 0.2065 0.3186  2 Te 2.72
7 Se 0.3407 0.7935 0.6814  2 Te 2.72

From most stable to least stable, the computed energies give run b, run a.